The following is a DFT calculation (PBE) of crystalline Zr4PtRh at its relaxed geometry.

Cell: 6.6164 6.6164 5.5620 Å, 90.00 90.00 90.00°
Last column: nearest neighbours and their distance in Å.
Space group I422 (No. 97)
Symmetry-distinct sites (fractional):
1 Zr 0.1619 0.3381 0.2500 x8  2 Rh 2.84, 2 Pt 2.84, 1 Zr 3.03
2 Pt 0.0000 0.0000 0.0000 x2  2 Rh 2.78, 8 Zr 2.84
3 Rh 0.0000 0.0000 0.5000 x2  2 Pt 2.78, 8 Zr 2.84

Summary:
- Energy relative to the elements: -0.669 eV/atom
- Offset from the most stable computed form: 0.0 meV/atom
- Calculated total energy: -8.5993 eV per atom
- Crystal system: tetragonal


The following is a DFT calculation (PBE) of crystalline PuMg2NbN4 at its relaxed geometry.

Cell: 5.5125 3.2299 5.6268 Å, 90.00 109.55 90.00°
Last column: nearest neighbours and their distance in Å.
Space group P2/m (No. 10)
Symmetry-distinct sites (fractional):
1 Pu 0.0000 0.0000 0.0000 x1  6 N 2.28-2.30
2 Mg 0.5000 0.0000 0.5000 x1  6 N 2.26-2.27
3 Mg 0.5000 0.5000 0.0000 x1  6 N 2.32-2.37
4 Nb 0.0000 0.5000 0.5000 x1  6 N 2.18-2.24
5 N 0.2415 0.0000 0.7398 x2  2 Nb 2.24, 3 Mg 2.27-2.32, 1 Pu 2.28
6 N 0.2439 0.5000 0.2638 x2  1 Nb 2.18, 3 Mg 2.26-2.37, 2 Pu 2.30

Summary:
- Calculated total energy: -8.5907 eV per atom
- Crystal system: monoclinic


The following is a DFT calculation (PBE) of crystalline AcAl2Sb at its relaxed geometry.

Cell: 4.7569 4.7569 4.6732 Å, 90.00 90.00 90.00°
Last column: nearest neighbours and their distance in Å.
Space group P4/mmm (No. 123)
Symmetry-distinct sites (fractional):
1 Ac 0.0000 0.0000 0.0000 x1  8 Al 3.33, 4 Sb 3.36
2 Al 0.0000 0.5000 0.5000 x2  4 Ac 3.33, 4 Sb 3.33, 4 Al 3.36
3 Sb 0.5000 0.5000 0.0000 x1  8 Al 3.33, 4 Ac 3.36

Summary:
- Calculated total energy: -4.2350 eV per atom
- Crystal system: tetragonal